(1)
LiGdLuOs: optimized geometry, PBE.

Cell: 4.8676 4.8676 4.8676 Å, 60.00 60.00 60.00°
With the nearest neighbours (Å) after each atom.
Positions (direct):
Gd  0.2500  0.2500  0.2500  4 Li 2.98, 4 Os 2.98
Li  0.0000  0.0000  0.0000  4 Lu 2.98, 4 Gd 2.98
Lu  0.7500  0.7500  0.7500  4 Li 2.98, 4 Os 2.98
Os  0.5000  0.5000  0.5000  4 Gd 2.98, 4 Lu 2.98

Summary:
The calculation puts the theoretical density at 10.78 g cm⁻³. The value obtained for the formation energy from the elements is -0.25 eV/atom. Its space group is F-43m (216).

(2)
NdEr4Tm15: optimized geometry, PBE.

Cell: 4.9482 4.9482 24.7481 Å, 90.00 90.00 90.00°
With the nearest neighbours (Å) after each atom.
Positions (direct):
Tm  0.5000  0.0000  0.5000  4 Er 3.49, 8 Tm 3.49-3.50
Tm  0.0000  0.5000  0.5000  4 Er 3.49, 8 Tm 3.49-3.50
Tm  0.0000  0.5000  0.3008  8 Tm 3.48-3.50, 4 Er 3.49
Tm  0.5000  0.0000  0.1018  2 Er 3.49, 8 Tm 3.50-3.53, 2 Nd 3.53
Tm  0.0000  0.5000  0.8982  2 Er 3.49, 8 Tm 3.50-3.53, 2 Nd 3.53
Er  0.0000  0.0000  0.7990  12 Tm 3.49-3.50
Tm  0.5000  0.0000  0.6992  8 Tm 3.48-3.50, 4 Er 3.49
Tm  0.5000  0.0000  0.3008  8 Tm 3.48-3.50, 4 Er 3.49
Tm  0.5000  0.5000  0.7984  8 Tm 3.48-3.50, 4 Er 3.50
Tm  0.5000  0.0000  0.8982  2 Er 3.49, 8 Tm 3.50-3.53, 2 Nd 3.53
Nd  0.0000  0.0000  0.0000  12 Tm 3.50-3.53
Tm  0.5000  0.5000  0.5997  8 Tm 3.49, 4 Er 3.50
Er  0.0000  0.0000  0.4005  12 Tm 3.49-3.50
Tm  0.5000  0.5000  0.4003  8 Tm 3.49, 4 Er 3.50
Er  0.0000  0.0000  0.2010  12 Tm 3.49-3.50
Tm  0.5000  0.5000  0.2016  8 Tm 3.48-3.50, 4 Er 3.50
Er  0.0000  0.0000  0.5995  12 Tm 3.49-3.50
Tm  0.0000  0.5000  0.6992  8 Tm 3.48-3.50, 4 Er 3.49
Tm  0.5000  0.5000  0.0000  4 Nd 3.50, 8 Tm 3.53
Tm  0.0000  0.5000  0.1018  2 Er 3.49, 8 Tm 3.50-3.53, 2 Nd 3.53

Summary:
The calculation puts the theoretical density at 9.17 g cm⁻³. The value obtained for the formation energy from the elements is 0.03 eV/atom. Its space group is P4/mmm (123).

- Which of these has the highest theoretical density?
  LiGdLuOs